# 1
GeRuI after structural relaxation, computed with GGA-PBE.

## Properties
- Electronic total energy: -29.92 eV for the cell shown
- Space-group type: No. 12
- Relative energy among the computed polymorphs: 243.8 meV/atom
- N(E_F): 0.94 states/eV per atom
- ΔE_f (raw): 46.7 kJ/mol of formula units

Cell lengths 3.8168, 6.7167, 6.4049 Å; angles 67.48, 72.66, 73.49 degrees
With the nearest neighbours (Å) after each atom.
Fractional positions:
Ge  0.1051  0.0112  0.7787  3 Ru 2.43-2.49, 1 Ge 2.66
I  0.3889  0.4342  0.7880  2 Ru 2.69-2.71
I  0.6111  0.5658  0.2120  2 Ru 2.69-2.71
Ge  0.8949  0.9888  0.2213  3 Ru 2.43-2.49, 1 Ge 2.66
Ru  0.6532  0.1622  0.5314  3 Ge 2.43-2.49, 2 I 2.69-2.71
Ru  0.3468  0.8378  0.4686  3 Ge 2.43-2.49, 2 I 2.69-2.71



# 2
GeRuSI after structural relaxation, computed with GGA-PBE.

## Properties
- Electronic total energy: -19.24 eV for the cell shown
- Space-group type: No. 1
- Relative energy among the computed polymorphs: 148.3 meV/atom
- N(E_F): 0.72 states/eV per atom
- ΔE_f (raw): 31.9 kJ/mol of formula units

Cell lengths 3.3067, 4.0991, 8.7637 Å; angles 89.57, 79.67, 66.65 degrees
With the nearest neighbours (Å) after each atom.
Fractional positions:
Ge  0.1260  0.7763  0.9917  2 S 2.31, 3 Ru 2.37-2.53
I  0.0879  0.2378  0.5761  1 Ru 2.56
S  0.6481  0.5756  0.1512  2 Ge 2.31, 1 Ru 2.51
Ru  0.9040  0.3259  0.8730  3 Ge 2.37-2.53, 1 S 2.51, 1 I 2.56



# 3
GeRuSI after structural relaxation, computed with GGA-PBE.

## Properties
- Electronic total energy: -38.96 eV for the cell shown
- Space-group type: No. 8
- Relative energy among the computed polymorphs: 88.5 meV/atom
- N(E_F): 1.09 states/eV per atom
- ΔE_f (raw): 8.8 kJ/mol of formula units

Cell lengths 7.3244, 3.9042, 7.5305 Å; angles 90.00, 108.16, 90.00 degrees
With the nearest neighbours (Å) after each atom.
Fractional positions:
I  0.1591  0.5000  0.0847  3 Ru 2.74-2.86
S  0.6298  0.5000  0.5106  1 Ge 2.21, 1 Ru 2.34
Ge  0.8144  0.5000  0.3274  1 S 2.21, 2 Ru 2.44
S  0.6298  0.0000  0.0106  1 Ge 2.21, 1 Ru 2.34
I  0.1591  0.0000  0.5847  3 Ru 2.74-2.86
Ru  0.9444  0.0000  0.2145  1 S 2.34, 2 Ge 2.44
Ge  0.8144  0.0000  0.8274  1 S 2.21, 2 Ru 2.44
Ru  0.9444  0.5000  0.7145  1 S 2.34, 2 Ge 2.44



# 4
GeRuSI after structural relaxation, computed with GGA-PBE.

## Properties
- Electronic total energy: -19.62 eV for the cell shown
- Space-group type: No. 1
- Relative energy among the computed polymorphs: 53.8 meV/atom
- N(E_F): 0.56 states/eV per atom
- ΔE_f (raw): -4.6 kJ/mol of formula units

Cell lengths 3.5416, 3.5390, 8.9255 Å; angles 101.04, 90.31, 119.96 degrees
With the nearest neighbours (Å) after each atom.
Fractional positions:
Ge  0.0309  0.1302  0.1487  3 Ru 2.53, 1 I 2.59, 1 S 2.72
S  0.9244  0.9261  0.8359  3 Ru 2.38-2.39
I  0.1323  0.3236  0.4464  1 Ge 2.59
Ru  0.6390  0.3515  0.9771  3 S 2.38-2.39, 3 Ge 2.53



# 5
GeRuSI after structural relaxation, computed with GGA-PBE.

## Properties
- Electronic total energy: -19.35 eV for the cell shown
- Space-group type: No. 1
- Relative energy among the computed polymorphs: 121.4 meV/atom
- N(E_F): 0.32 states/eV per atom
- ΔE_f (raw): 21.5 kJ/mol of formula units

Cell lengths 3.1276, 3.1293, 11.5472 Å; angles 83.49, 84.15, 64.96 degrees
With the nearest neighbours (Å) after each atom.
Fractional positions:
Ru  0.7996  0.4486  0.9571  3 S 2.29-2.32
S  0.1747  0.8328  0.8364  3 Ru 2.29-2.32
Ge  0.0961  0.7323  0.1320  3 Ru 2.69-2.75
I  0.6659  0.2549  0.4824  6 I 3.13-3.36



# 6
GeRuSI after structural relaxation, computed with GGA-PBE.

## Properties
- Electronic total energy: -19.53 eV for the cell shown
- Space-group type: No. 1
- Relative energy among the computed polymorphs: 74.7 meV/atom
- N(E_F): 0.56 states/eV per atom
- ΔE_f (raw): 3.5 kJ/mol of formula units

Cell lengths 2.9722, 3.7280, 9.1324 Å; angles 86.19, 81.16, 89.99 degrees
With the nearest neighbours (Å) after each atom.
Fractional positions:
Ru  0.3732  0.5917  0.0131  2 S 2.27
I  0.6699  0.0664  0.4464  1 Ge 2.91, 2 I 2.97
S  0.9619  0.5372  0.8252  2 Ru 2.27
Ge  0.8212  0.0782  0.1232  4 Ru 2.57-2.59



# 7
GeRuSI after structural relaxation, computed with GGA-PBE.

## Properties
- Electronic total energy: -19.58 eV for the cell shown
- Space-group type: No. 6
- Relative energy among the computed polymorphs: 64.0 meV/atom
- N(E_F): 0.44 states/eV per atom
- ΔE_f (raw): -0.6 kJ/mol of formula units

Cell lengths 3.9473, 4.1052, 7.8184 Å; angles 90.00, 104.04, 90.00 degrees
With the nearest neighbours (Å) after each atom.
Fractional positions:
Ge  0.3277  0.5000  0.8502  2 Ru 2.42
Ru  0.4089  0.0000  0.0190  2 S 2.16, 2 Ge 2.42
S  0.9651  0.0000  0.1359  2 Ru 2.16
I  0.7013  0.5000  0.5868  2 Ge 2.81



# 8
GeRuSI after structural relaxation, computed with GGA-PBE.

## Properties
- Electronic total energy: -19.80 eV for the cell shown
- Space-group type: No. 1
- Relative energy among the computed polymorphs: 9.4 meV/atom
- N(E_F): 0.60 states/eV per atom
- ΔE_f (raw): -21.7 kJ/mol of formula units

Cell lengths 3.0933, 4.7138, 8.1780 Å; angles 75.05, 89.64, 70.64 degrees
With the nearest neighbours (Å) after each atom.
Fractional positions:
I  0.2059  0.7351  0.5793  1 Ru 2.74
Ge  0.5802  0.9730  0.9404  1 S 2.34, 3 Ru 2.44-2.54
S  0.8228  0.4898  0.1460  2 Ru 2.34, 1 Ge 2.34
Ru  0.3066  0.5286  0.9264  2 S 2.34, 3 Ge 2.44-2.54